{"formula": "TmScCoAg", "functional": "PBE", "state": "relaxed", "energy_ev_per_atom": -5.49, "e_form_ev_per_atom": -0.30, "dos_ef_per_ev_cell": 2.564, "lattice_angstrom": [[-0.646, 2.893, -1.268], [-1.122, -1.420, -2.668], [-6.726, -0.212, 2.940]], "species": ["Tm", "Sc", "Co", "Ag"], "fractional_positions": [[0.500, 0.500, 0.786], [0.500, 0.500, 0.355], [0.000, 0.000, 0.556], [0.000, 0.000, 0.088]]}